Density functional theory data (SCAN) for MgHg2Pt at its PBEsol-relaxed geometry.

Lattice parameters (Å, degrees): 3.0452 4.8688 5.0839 90.00 90.62 90.00
Fractional coordinates of all 4 atoms:
Mg  0.0000  0.0000  0.0000
Hg  0.2733  0.5000  0.7477
Hg  0.7267  0.5000  0.2523
Pt  0.5000  0.0000  0.5000

Total DFT energy (no corrections): -53.049 eV per atom
Calculated formation energy: -0.174 eV/atom
Magnetic moment: 0.00 μB/f.u.